First-principles (PBE-GGA) data for an optimized crystal structure of PuFeB, as listed in Alexandria.

It has space group P-6m2 (No. 187), with a = 3.6221 Å, b = 3.6221 Å, c = 3.7423 Å, α = 90.00°, β = 90.00° and γ = 120.00°. The distinct sites, in fractional coordinates, are Pu at (0.0000, 0.0000, 0.0000), Fe at (0.3333, 0.6667, 0.5000) and B at (0.6667, 0.3333, 0.5000).

First-principles (PBE-GGA) data for an optimized crystal structure of Pm2CuPt, as listed in Alexandria.

The value obtained for the energy above the most stable polymorph in this dataset is 0 meV per atom.

It has space group P2_1/m (No. 11), with a = 5.702 Å, b = 4.565 Å, c = 7.767 Å, α = 90.00°, β = 109.94° and γ = 90.00°. The distinct sites, in fractional coordinates, are Pm at (0.222, 0.250, 0.434), Pm at (0.225, 0.250, 0.928), Cu at (0.348, 0.750, 0.210) and Pt at (0.345, 0.750, 0.712).

no.,formation energy from the elements (eV/atom)
1,-0.084
2,-0.720